Entry 1:
LaAlTe2N: relaxed, GGA-PBE.

```
5
Lattice="5.755 0.000 0.000 0.000 5.755 0.000 0.000 0.000 3.609" Properties=species:S:1:pos:R:3 pbc="T T T"
N 0.000 0.000 1.804
Te 0.000 2.877 0.000
Te 2.877 0.000 0.000
Al 0.000 0.000 0.000
La 2.877 2.877 1.804
```

Summary:
Total energy: -0.189 Ha/atom
Calculated volume: 119.5 Å³/f.u.
Symmetry: P4/mmm (123)

***

Entry 2:
LaAlTe2N: relaxed, GGA-PBE.

```
5
Lattice="-2.735 2.648 -5.309 -5.711 -2.760 1.565 -0.984 3.239 2.122" Properties=species:S:1:pos:R:3 pbc="T T T"
N -0.492 1.620 1.061
Te -2.855 -1.380 0.783
Te -1.367 1.324 -2.655
Al -4.715 1.564 -0.811
La 0.000 0.000 0.000
```

Summary:
Total energy: -0.161 Ha/atom
Calculated volume: 170.5 Å³/f.u.
Symmetry: P4/mmm (123)

***

Entry 3:
La2ThAlN: relaxed, GGA-PBE.

```
5
Lattice="-4.457 -1.513 1.291 1.865 -4.669 0.969 0.934 1.378 4.842" Properties=species:S:1:pos:R:3 pbc="T T T"
La 0.467 0.689 2.421
La 0.932 -2.334 0.484
Th -2.229 -0.756 0.645
Al -0.829 -2.402 3.551
N 0.000 0.000 0.000
```

Summary:
Total energy: -0.243 Ha/atom
Calculated volume: 127.9 Å³/f.u.
Symmetry: P4/mmm (123)

***

Entry 4:
LaAl2VN: relaxed, GGA-PBE.

```
5
Lattice="-2.786 -3.710 3.432 3.486 -1.609 1.091 0.370 3.759 4.363" Properties=species:S:1:pos:R:3 pbc="T T T"
N 1.743 -0.805 0.545
V 0.535 -0.780 4.443
Al 0.185 1.879 2.182
Al -1.393 -1.855 1.716
La 0.000 0.000 0.000
```

Summary:
Total energy: -0.164 Ha/atom
Calculated volume: 132.9 Å³/f.u.
Symmetry: P4/mmm (123)

***

Entry 5:
La2AlVN: relaxed, GGA-PBE.

```
5
Lattice="5.303 0.000 0.000 0.000 5.303 0.000 0.000 0.000 3.899" Properties=species:S:1:pos:R:3 pbc="T T T"
N 0.000 0.000 0.000
V 0.000 0.000 1.949
Al 2.651 2.651 1.949
La 0.000 2.651 0.000
La 2.651 0.000 0.000
```

Summary:
Total energy: -0.251 Ha/atom
Calculated volume: 109.6 Å³/f.u.
Symmetry: P4/mmm (123)

***

Entry 6:
LaY2AlN: relaxed, GGA-PBE.

```
5
Lattice="4.832 0.000 0.000 0.000 4.832 0.000 0.000 0.000 5.041" Properties=species:S:1:pos:R:3 pbc="T T T"
Y 0.000 2.416 0.000
Y 2.416 0.000 0.000
N 0.000 0.000 0.000
Al 2.416 2.416 2.521
La 0.000 0.000 2.521
```

Summary:
Total energy: -0.251 Ha/atom
Calculated volume: 117.7 Å³/f.u.
Symmetry: P4/mmm (123)

***

Entry 7:
La2YAlN: relaxed, GGA-PBE.

```
5
Lattice="-4.756 -1.450 -1.108 -0.929 -0.736 4.954 -1.486 4.569 0.400" Properties=species:S:1:pos:R:3 pbc="T T T"
Y -0.743 2.284 0.200
N 0.000 0.000 0.000
Al -3.586 1.192 2.123
La -0.465 -0.368 2.477
La -2.378 -0.725 -0.554
```

Summary:
Total energy: -0.238 Ha/atom
Calculated volume: 125.1 Å³/f.u.
Symmetry: P4/mmm (123)

***

Entry 8:
La2ZrAlN: relaxed, GGA-PBE.

```
5
Lattice="5.149 0.000 0.000 0.000 5.149 0.000 0.000 0.000 4.452" Properties=species:S:1:pos:R:3 pbc="T T T"
N 0.000 0.000 0.000
Al 2.574 2.574 2.226
Zr 0.000 0.000 2.226
La 0.000 2.574 0.000
La 2.574 0.000 0.000
```

Summary:
Total energy: -0.250 Ha/atom
Calculated volume: 118.0 Å³/f.u.
Symmetry: P4/mmm (123)

***

Entry 9:
Na2LaAl2: relaxed, GGA-PBE.

```
5
Lattice="4.463 0.000 0.000 0.000 4.463 0.000 2.231 2.231 7.083" Properties=species:S:1:pos:R:3 pbc="T T T"
Na 4.463 2.231 3.542
Na 2.231 4.463 3.542
Al 2.231 2.231 1.254
Al 4.463 4.463 5.829
La 0.000 0.000 0.000
```

Summary:
Total energy: -0.110 Ha/atom
Calculated volume: 141.1 Å³/f.u.
ΔH_f (0 K): 27.4 meV/atom
Symmetry: I4/mmm (139)

***

Entry 10:
Na2La2Al: relaxed, GGA-PBE.

```
5
Lattice="-3.626 -0.046 -1.690 1.263 -2.732 -2.635 -4.074 -8.908 4.247" Properties=species:S:1:pos:R:3 pbc="T T T"
Na -4.440 -5.172 0.197
Na -1.996 -6.515 -0.276
Al 0.000 0.000 0.000
La -1.663 -2.641 -1.095
La -4.773 -9.045 1.017
```

Summary:
Total energy: -0.115 Ha/atom
Calculated volume: 164.8 Å³/f.u.
ΔH_f (0 K): 109.0 meV/atom
Symmetry: I4/mmm (139)

***

Entry 11:
NaLa3Al: relaxed, GGA-PBE.

```
5
Lattice="5.945 0.000 0.000 0.000 5.945 0.000 0.000 0.000 5.945" Properties=species:S:1:pos:R:3 pbc="T T T"
Na 2.973 2.973 2.973
Al 0.000 0.000 0.000
La 0.000 2.973 0.000
La 0.000 0.000 2.973
La 2.973 0.000 0.000
```

Summary:
Total energy: -0.136 Ha/atom
Calculated volume: 210.2 Å³/f.u.
ΔH_f (0 K): 273.9 meV/atom
Symmetry: Pm-3m (221)

***

Entry 12:
NaLa2Al: relaxed, GGA-PBE.

```
8
Lattice="-1.553 -4.424 0.688 4.194 -1.182 1.864 -2.531 0.191 11.842" Properties=species:S:1:pos:R:3 pbc="T T T"
Na 1.320 -2.803 1.276
Na 1.492 -1.897 7.491
Al 0.000 0.000 0.000
Al -1.382 -3.518 6.903
La -1.136 -3.026 3.648
La 1.851 -1.083 4.186
La -1.061 -1.916 9.770
La 0.565 -4.805 11.182
```

Summary:
Total energy: -0.124 Ha/atom
Calculated volume: 130.7 Å³/f.u.
ΔH_f (0 K): 356.3 meV/atom
Symmetry: I-42d (122)